First-principles (GGA+U) data for crystalline HfNiPO2 at its relaxed geometry, as listed in Alexandria via LeMat-Bulk. Values from VASP.

Cell and atoms, written as Quantum ESPRESSO input:
```
&SYSTEM
  ibrav = 0, nat = 5, ntyp = 4
/
ATOMIC_SPECIES
Hf 178.49 Hf.upf
Ni 58.69 Ni.upf
P 30.97 P.upf
O 16.00 O.upf
CELL_PARAMETERS angstrom
3.786 0.000 0.000
0.000 3.786 0.000
0.000 0.000 4.349
ATOMIC_POSITIONS angstrom
Hf 0.000 0.000 0.000
Ni 1.893 1.893 2.175
P 1.893 1.893 0.000
O 0.000 1.893 2.175
O 1.893 0.000 2.175
```

* calculated total energy: -30.86 eV/f.u.
* density: 8.0 Mg/m³
* space group: P4/mmm, No. 123